{
  "formula": "Sr2BeCu",
  "functional": "GGA-PBE",
  "state": "optimized geometry",
  "vol_a3_per_fu": 127,
  "dos_ef_per_ev_fu": 3.64,
  "crystal_system": "monoclinic",
  "e_form_mev_per_atom": 441,
  "spacegroup": "No. 12",
  "energy_ev_per_atom": -2.355,
  "lattice_angstrom": [[-2.778, 3.427, -0.097], [-3.178, 0.344, 3.042], [2.688, 5.177, 5.426]],
  "species": ["Sr", "Sr", "Be", "Cu"],
  "frac_coords": [[0.998, 0.998, 0.006], [0.502, 0.502, 0.494], [0.750, 0.750, 0.750], [0.250, 0.250, 0.250]]
}